First-principles (GGA-PBE) data for an optimized crystal structure of ReAu, as listed in Alexandria via LeMat-Bulk.

Results
Calculated formation energy in eV/atom: 0.730
E above lowest polymorph in meV/atom: 587
Crystal system: orthorhombic
Spin magnetization in μB per atom: 0.000

abc: 5.110 5.110 3.659
angles: 90.00 90.00 129.47
Positions (direct):
1 Re 0.084 0.916 0.750
2 Re 0.916 0.084 0.250
3 Au 0.375 0.625 0.750
4 Au 0.625 0.375 0.250